Entry 1:
This record from Alexandria via LeMat-Bulk describes TiCrPS2 after structural relaxation. The functional is GGA-PBE. Values from VASP.

Properties
ΔE_f (raw)	64.7	kJ/mol of formula units
DOS at the Fermi energy	4.66	states/eV per cell
ΔE to the lowest computed polymorph	0.000	eV/atom

Geometry as Quantum ESPRESSO input:
```
&SYSTEM
  ibrav = 0, nat = 5, ntyp = 4
/
ATOMIC_SPECIES
Cr 52.00 Cr.upf
S 32.06 S.upf
P 30.97 P.upf
Ti 47.87 Ti.upf
CELL_PARAMETERS angstrom
4.5208 0.0000 0.0000
0.0000 4.5208 0.0000
0.0000 0.0000 4.4662
ATOMIC_POSITIONS angstrom
Cr 0.0000 0.0000 0.0000
S 0.0000 2.2604 0.0000
S 2.2604 0.0000 0.0000
P 0.0000 0.0000 2.2331
Ti 2.2604 2.2604 2.2331
```

***

Entry 2:
This record from Alexandria via LeMat-Bulk describes TiCrPS2 after structural relaxation. The functional is GGA-PBE. Values from VASP.

Properties
ΔE_f (raw)	260.6	kJ/mol of formula units
DOS at the Fermi energy	8.88	states/eV per cell
ΔE to the lowest computed polymorph	0.406	eV/atom

Geometry as Quantum ESPRESSO input:
```
&SYSTEM
  ibrav = 0, nat = 5, ntyp = 4
/
ATOMIC_SPECIES
Cr 52.00 Cr.upf
S 32.06 S.upf
P 30.97 P.upf
Ti 47.87 Ti.upf
CELL_PARAMETERS angstrom
4.6037 0.0000 0.0000
0.0000 4.6037 0.0000
0.0000 0.0000 4.7091
ATOMIC_POSITIONS angstrom
Cr 2.3019 2.3019 2.3546
S 0.0000 2.3019 0.0000
S 2.3019 0.0000 0.0000
P 0.0000 0.0000 2.3546
Ti 0.0000 0.0000 0.0000
```

***

Entry 3:
This record from Alexandria via LeMat-Bulk describes Tl2CrP2S6 after structural relaxation. The functional is GGA-PBE. Values from VASP.

Properties
ΔE_f (raw)	-265.8	kJ/mol of formula units
DOS at the Fermi energy	2.43	states/eV per cell

Geometry as Quantum ESPRESSO input:
```
&SYSTEM
  ibrav = 0, nat = 11, ntyp = 4
/
ATOMIC_SPECIES
Tl 204.38 Tl.upf
Cr 52.00 Cr.upf
P 30.97 P.upf
S 32.06 S.upf
CELL_PARAMETERS angstrom
-4.6066 4.8450 -0.7777
-6.5222 -1.5989 -0.4516
-4.2815 1.5807 6.0853
ATOMIC_POSITIONS angstrom
Tl -11.5277 3.5939 3.3013
Tl -3.8826 1.2329 1.5548
Cr 0.0000 0.0000 0.0000
P -7.8104 2.5052 3.6236
P -7.5999 2.3216 1.2324
S -9.4798 2.8509 0.6477
S -7.1045 0.3526 1.0487
S -6.1167 3.6753 0.8806
S -9.2936 1.1515 3.9755
S -8.3058 4.4742 3.8074
S -5.9305 1.9759 4.2084
```

***

Entry 4:
This record from Alexandria via LeMat-Bulk describes TlCrP2S after structural relaxation. The functional is GGA-PBE. Values from VASP.

Properties
ΔE_f (raw)	110.6	kJ/mol of formula units
DOS at the Fermi energy	4.27	states/eV per cell
ΔE to the lowest computed polymorph	0.000	eV/atom

Geometry as Quantum ESPRESSO input:
```
&SYSTEM
  ibrav = 0, nat = 5, ntyp = 4
/
ATOMIC_SPECIES
Cr 52.00 Cr.upf
Tl 204.38 Tl.upf
S 32.06 S.upf
P 30.97 P.upf
CELL_PARAMETERS angstrom
-1.0086 -2.6756 3.2940
4.1433 -1.3532 0.1694
1.1070 3.8203 3.4421
ATOMIC_POSITIONS angstrom
Cr 0.0000 0.0000 0.0000
Tl 2.1208 -0.1043 3.4527
S 0.5535 1.9102 1.7210
P 2.0716 -0.6766 0.0847
P -0.5043 -1.3378 1.6470
```

***

Entry 5:
This record from Alexandria via LeMat-Bulk describes TlCrP2S after structural relaxation. The functional is GGA-PBE. Values from VASP.

Properties
ΔE_f (raw)	926.1	kJ/mol of formula units
DOS at the Fermi energy	6.48	states/eV per cell
ΔE to the lowest computed polymorph	1.690	eV/atom

Geometry as Quantum ESPRESSO input:
```
&SYSTEM
  ibrav = 0, nat = 5, ntyp = 4
/
ATOMIC_SPECIES
Cr 52.00 Cr.upf
Tl 204.38 Tl.upf
S 32.06 S.upf
P 30.97 P.upf
CELL_PARAMETERS angstrom
-3.7336 1.9126 2.7751
2.0213 -2.0434 4.1277
2.6978 4.1804 0.7485
ATOMIC_POSITIONS angstrom
Cr 0.4928 2.0248 3.8256
Tl 0.0000 0.0000 0.0000
S 1.3489 2.0902 0.3742
P 1.0106 -1.0217 2.0638
P -1.8668 0.9563 1.3876
```

***

Entry 6:
This record from Alexandria via LeMat-Bulk describes TlCrP2S8 after structural relaxation. The functional is GGA-PBE. Values from VASP.

Properties
ΔE_f (raw)	-227.4	kJ/mol of formula units
DOS at the Fermi energy	3.71	states/eV per cell

Geometry as Quantum ESPRESSO input:
```
&SYSTEM
  ibrav = 0, nat = 12, ntyp = 4
/
ATOMIC_SPECIES
Tl 204.38 Tl.upf
Cr 52.00 Cr.upf
P 30.97 P.upf
S 32.06 S.upf
CELL_PARAMETERS angstrom
5.8516 0.0000 0.0000
2.9258 5.0676 0.0000
2.9258 1.6892 9.4732
ATOMIC_POSITIONS angstrom
Tl 5.8516 3.3784 4.7366
Cr 0.0000 0.0000 0.0000
P 2.9258 1.6892 1.9362
P 8.7774 5.0676 7.5370
S 2.9258 1.6892 3.9258
S 4.9181 1.7141 1.2949
S 8.7774 5.0676 5.5474
S 7.7597 3.4020 1.2949
S 3.9435 3.3547 8.1783
S 4.8771 5.0190 1.2949
S 6.8261 1.7378 8.1783
S 6.7852 5.0426 8.1783
```

***

Entry 7:
This record from Alexandria via LeMat-Bulk describes VCrPS2 after structural relaxation. The functional is GGA-PBE. Values from VASP.

Properties
ΔE_f (raw)	108.5	kJ/mol of formula units
DOS at the Fermi energy	3.80	states/eV per cell
ΔE to the lowest computed polymorph	0.000	eV/atom

Geometry as Quantum ESPRESSO input:
```
&SYSTEM
  ibrav = 0, nat = 5, ntyp = 4
/
ATOMIC_SPECIES
Cr 52.00 Cr.upf
S 32.06 S.upf
V 50.94 V.upf
P 30.97 P.upf
CELL_PARAMETERS angstrom
4.5323 0.0000 0.0000
0.0000 4.5323 0.0000
0.0000 0.0000 4.6188
ATOMIC_POSITIONS angstrom
Cr 2.2662 2.2662 2.3094
S 0.0000 2.2662 0.0000
S 2.2662 0.0000 0.0000
V 0.0000 0.0000 0.0000
P 0.0000 0.0000 2.3094
```

***

Entry 8:
This record from Alexandria via LeMat-Bulk describes VCrPS2 after structural relaxation. The functional is GGA-PBE. Values from VASP.

Properties
ΔE_f (raw)	178.1	kJ/mol of formula units
DOS at the Fermi energy	4.40	states/eV per cell
ΔE to the lowest computed polymorph	0.144	eV/atom

Geometry as Quantum ESPRESSO input:
```
&SYSTEM
  ibrav = 0, nat = 5, ntyp = 4
/
ATOMIC_SPECIES
Cr 52.00 Cr.upf
S 32.06 S.upf
P 30.97 P.upf
V 50.94 V.upf
CELL_PARAMETERS angstrom
-1.0790 -4.3195 0.7324
4.3203 -1.1743 -0.5608
0.7188 0.5604 4.3641
ATOMIC_POSITIONS angstrom
Cr 0.0000 0.0000 0.0000
S 2.1602 -0.5871 -0.2804
S -0.5395 -2.1598 0.3662
P 0.3594 0.2802 2.1821
V 1.9801 -2.4667 2.2679
```

***

Entry 9:
This record from Alexandria via LeMat-Bulk describes CrPWS2 after structural relaxation. The functional is GGA-PBE. Values from VASP.

Properties
ΔE_f (raw)	229.7	kJ/mol of formula units
DOS at the Fermi energy	3.40	states/eV per cell
ΔE to the lowest computed polymorph	0.000	eV/atom

Geometry as Quantum ESPRESSO input:
```
&SYSTEM
  ibrav = 0, nat = 5, ntyp = 4
/
ATOMIC_SPECIES
Cr 52.00 Cr.upf
S 32.06 S.upf
W 183.84 W.upf
P 30.97 P.upf
CELL_PARAMETERS angstrom
-1.7465 -2.0209 -3.8119
3.9321 0.9471 -2.3036
1.8309 -4.2114 1.3938
ATOMIC_POSITIONS angstrom
Cr 2.0083 -2.6426 -2.3609
S 1.9660 0.4735 -1.1518
S -0.8732 -1.0104 -1.9059
W 0.0000 0.0000 0.0000
P 0.9155 -2.1057 0.6969
```

***

Entry 10:
This record from Alexandria via LeMat-Bulk describes CrPWS2 after structural relaxation. The functional is GGA-PBE. Values from VASP.

Properties
ΔE_f (raw)	452.2	kJ/mol of formula units
DOS at the Fermi energy	2.81	states/eV per cell
ΔE to the lowest computed polymorph	0.461	eV/atom

Geometry as Quantum ESPRESSO input:
```
&SYSTEM
  ibrav = 0, nat = 5, ntyp = 4
/
ATOMIC_SPECIES
Cr 52.00 Cr.upf
S 32.06 S.upf
W 183.84 W.upf
P 30.97 P.upf
CELL_PARAMETERS angstrom
-3.5507 -2.0452 -1.6460
1.0943 -3.6697 2.1989
-2.4541 1.3989 3.5559
ATOMIC_POSITIONS angstrom
Cr 0.0000 0.0000 0.0000
S 0.5472 -1.8348 1.0995
S -1.7754 -1.0226 -0.8230
W -2.4553 -2.1580 2.0545
P -1.2271 0.6995 1.7780
```

***

Entry 11:
This record from Alexandria via LeMat-Bulk describes YCrPS2 after structural relaxation. The functional is GGA-PBE. Values from VASP.

Properties
ΔE_f (raw)	119.1	kJ/mol of formula units
DOS at the Fermi energy	4.88	states/eV per cell
ΔE to the lowest computed polymorph	0.849	eV/atom

Geometry as Quantum ESPRESSO input:
```
&SYSTEM
  ibrav = 0, nat = 5, ntyp = 4
/
ATOMIC_SPECIES
Y 88.91 Y.upf
Cr 52.00 Cr.upf
S 32.06 S.upf
P 30.97 P.upf
CELL_PARAMETERS angstrom
-1.0420 -2.7179 -4.2850
5.0431 -0.0708 -1.1815
0.5767 -4.5301 2.7330
ATOMIC_POSITIONS angstrom
Y 0.0000 0.0000 0.0000
Cr 2.2889 -3.6594 -1.3667
S 2.5216 -0.0354 -0.5907
S -0.5210 -1.3589 -2.1425
P 0.2884 -2.2650 1.3665
```

***

Entry 12:
This record from Alexandria via LeMat-Bulk describes YCrPS2 after structural relaxation. The functional is GGA-PBE. Values from VASP.

Properties
ΔE_f (raw)	-290.7	kJ/mol of formula units
DOS at the Fermi energy	2.44	states/eV per cell
ΔE to the lowest computed polymorph	0.000	eV/atom

Geometry as Quantum ESPRESSO input:
```
&SYSTEM
  ibrav = 0, nat = 5, ntyp = 4
/
ATOMIC_SPECIES
Y 88.91 Y.upf
Cr 52.00 Cr.upf
S 32.06 S.upf
P 30.97 P.upf
CELL_PARAMETERS angstrom
4.6698 0.0000 0.0000
0.0000 4.6698 0.0000
0.0000 0.0000 4.4290
ATOMIC_POSITIONS angstrom
Y 2.3349 2.3349 2.2145
Cr 0.0000 0.0000 0.0000
S 0.0000 2.3349 0.0000
S 2.3349 0.0000 0.0000
P 0.0000 0.0000 2.2145
```

***

Entry 13:
This record from Alexandria via LeMat-Bulk describes ZnCrPS2 after structural relaxation. The functional is GGA-PBE. Values from VASP.

Properties
ΔE_f (raw)	153.9	kJ/mol of formula units
DOS at the Fermi energy	4.42	states/eV per cell
ΔE to the lowest computed polymorph	0.000	eV/atom

Geometry as Quantum ESPRESSO input:
```
&SYSTEM
  ibrav = 0, nat = 5, ntyp = 4
/
ATOMIC_SPECIES
Cr 52.00 Cr.upf
Zn 65.41 Zn.upf
S 32.06 S.upf
P 30.97 P.upf
CELL_PARAMETERS angstrom
-2.6437 -3.3416 -1.1440
0.1952 -1.5650 4.1203
-3.7422 2.5662 1.1520
ATOMIC_POSITIONS angstrom
Cr 0.0000 0.0000 0.0000
Zn -3.0953 -1.1702 2.0642
S 0.0976 -0.7825 2.0601
S -1.3218 -1.6708 -0.5720
P -1.8711 1.2831 0.5760
```

***

Entry 14:
This record from Alexandria via LeMat-Bulk describes ZrCrPS2 after structural relaxation. The functional is GGA-PBE. Values from VASP.

Properties
ΔE_f (raw)	33.2	kJ/mol of formula units
DOS at the Fermi energy	4.32	states/eV per cell
ΔE to the lowest computed polymorph	0.183	eV/atom

Geometry as Quantum ESPRESSO input:
```
&SYSTEM
  ibrav = 0, nat = 5, ntyp = 4
/
ATOMIC_SPECIES
Cr 52.00 Cr.upf
S 32.06 S.upf
Zr 91.22 Zr.upf
P 30.97 P.upf
CELL_PARAMETERS angstrom
4.9362 0.0000 0.0000
0.0000 4.9362 0.0000
0.0000 0.0000 5.0962
ATOMIC_POSITIONS angstrom
Cr 2.4681 2.4681 2.5481
S 0.0000 2.4681 0.0000
S 2.4681 0.0000 0.0000
Zr 0.0000 0.0000 0.0000
P 0.0000 0.0000 2.5481
```

***

Entry 15:
This record from Alexandria via LeMat-Bulk describes ZrCrPS2 after structural relaxation. The functional is GGA-PBE. Values from VASP.

Properties
ΔE_f (raw)	-55.2	kJ/mol of formula units
DOS at the Fermi energy	2.82	states/eV per cell
ΔE to the lowest computed polymorph	0.000	eV/atom

Geometry as Quantum ESPRESSO input:
```
&SYSTEM
  ibrav = 0, nat = 5, ntyp = 4
/
ATOMIC_SPECIES
Cr 52.00 Cr.upf
S 32.06 S.upf
Zr 91.22 Zr.upf
P 30.97 P.upf
CELL_PARAMETERS angstrom
-0.9539 -3.9608 1.8006
-0.8571 -1.6362 -4.0532
4.4070 -1.2547 -0.4254
ATOMIC_POSITIONS angstrom
Cr 0.0000 0.0000 0.0000
S -0.4285 -0.8181 -2.0266
S -0.4769 -1.9804 0.9003
Zr 1.2980 -3.4259 -1.3390
P 2.2035 -0.6274 -0.2127
```

***

Entry 16:
This record from Alexandria via LeMat-Bulk describes CrSbP2 after structural relaxation. The functional is GGA-PBE. Values from VASP.

Properties
ΔE_f (raw)	85.7	kJ/mol of formula units
DOS at the Fermi energy	1.35	states/eV per cell

Geometry as Quantum ESPRESSO input:
```
&SYSTEM
  ibrav = 0, nat = 4, ntyp = 3
/
ATOMIC_SPECIES
Cr 52.00 Cr.upf
P 30.97 P.upf
Sb 121.76 Sb.upf
CELL_PARAMETERS angstrom
6.7235 -0.2437 -0.1461
5.8829 3.2645 -0.1461
5.8829 1.4097 2.9481
ATOMIC_POSITIONS angstrom
Cr 4.8833 1.1701 0.7014
P 18.4532 4.4218 2.6507
P 13.6877 3.2798 1.9661
Sb 9.1990 2.2043 1.3214
```

***

Entry 17:
This record from Alexandria via LeMat-Bulk describes Cr4SbP after structural relaxation. The functional is GGA-PBE. Values from VASP.

Properties
ΔE_f (raw)	249.0	kJ/mol of formula units
DOS at the Fermi energy	7.62	states/eV per cell

Geometry as Quantum ESPRESSO input:
```
&SYSTEM
  ibrav = 0, nat = 6, ntyp = 3
/
ATOMIC_SPECIES
Cr 52.00 Cr.upf
Sb 121.76 Sb.upf
P 30.97 P.upf
CELL_PARAMETERS angstrom
-3.0685 -3.6463 1.0810
-1.3585 -0.7579 4.6325
-4.5766 0.9911 1.3974
ATOMIC_POSITIONS angstrom
Cr -4.9056 -3.0861 3.2114
Cr -5.6504 -0.7956 3.3676
Cr -4.0610 -1.6595 4.9655
Cr -3.3900 -1.2851 2.6774
Sb 0.0000 0.0000 0.0000
P -6.7527 -2.5599 5.3332
```

***

Entry 18:
This record from Alexandria via LeMat-Bulk describes CrSbP2 after structural relaxation. The functional is GGA-PBE. Values from VASP.

Properties
ΔE_f (raw)	181.0	kJ/mol of formula units
DOS at the Fermi energy	2.88	states/eV per cell

Geometry as Quantum ESPRESSO input:
```
&SYSTEM
  ibrav = 0, nat = 4, ntyp = 3
/
ATOMIC_SPECIES
Cr 52.00 Cr.upf
P 30.97 P.upf
Sb 121.76 Sb.upf
CELL_PARAMETERS angstrom
3.2719 0.0000 0.0000
0.0000 4.6488 0.0000
0.0000 0.0000 4.6488
ATOMIC_POSITIONS angstrom
Cr 1.6359 0.0000 2.3244
P 0.0000 0.0000 0.0000
P 0.0000 2.3244 2.3244
Sb 1.6359 2.3244 0.0000
```

***

Entry 19:
This record from Alexandria via LeMat-Bulk describes CrSb4P after structural relaxation. The functional is GGA-PBE. Values from VASP.

Properties
ΔE_f (raw)	494.2	kJ/mol of formula units
DOS at the Fermi energy	4.39	states/eV per cell

Geometry as Quantum ESPRESSO input:
```
&SYSTEM
  ibrav = 0, nat = 6, ntyp = 3
/
ATOMIC_SPECIES
Cr 52.00 Cr.upf
Sb 121.76 Sb.upf
P 30.97 P.upf
CELL_PARAMETERS angstrom
5.3514 -2.8699 -0.6306
0.1594 -5.7417 -2.0686
2.1946 -1.1765 -5.5742
ATOMIC_POSITIONS angstrom
Cr 5.7791 -7.3411 -6.2051
Sb 5.5704 -5.1061 -3.4157
Sb 3.9873 -4.2569 -5.8948
Sb 2.9666 -6.5463 -4.1368
Sb 2.8867 -3.6669 -3.0994
P 0.0000 0.0000 0.0000
```

***

Entry 20:
This record from Alexandria via LeMat-Bulk describes CrSbP2 after structural relaxation. The functional is GGA-PBE. Values from VASP.

Properties
ΔE_f (raw)	59.4	kJ/mol of formula units
DOS at the Fermi energy	1.76	states/eV per cell

Geometry as Quantum ESPRESSO input:
```
&SYSTEM
  ibrav = 0, nat = 4, ntyp = 3
/
ATOMIC_SPECIES
Cr 52.00 Cr.upf
P 30.97 P.upf
Sb 121.76 Sb.upf
CELL_PARAMETERS angstrom
-2.6314 -1.4998 2.2326
4.1664 -4.6857 1.7628
3.7655 -1.3702 3.5177
ATOMIC_POSITIONS angstrom
Cr 1.8828 -0.6851 1.7589
P 0.0000 0.0000 0.0000
P 0.7675 -3.0927 1.9977
Sb 2.6503 -3.7778 3.7566
```